LaNdY3Sc (PBE, optimized geometry); total DFT energy (no corrections) = -5.85 eV per atom; calculated density = 5.1 Mg/m³
1.0
5.0465 0.0000 0.0000
-2.5233 7.5765 0.0000
0.0000 0.0000 10.1179
Y Nd La Sc
6 2 2 2
Direct
0.3311 0.6621 0.9996
0.1713 0.3426 0.7500
0.8287 0.6574 0.2500
0.6689 0.3379 0.4996
0.6689 0.3379 0.0004
0.3311 0.6621 0.5004
0.0000 0.0000 0.0000
0.0000 0.0000 0.5000
0.4972 0.9944 0.7500
0.5028 0.0056 0.2500
0.1695 0.3390 0.2500
0.8305 0.6610 0.7500